No. 1
The following is a DFT calculation (PBE) of crystalline LaTcGe3 at its relaxed geometry.

abc: 4.8389 4.8389 4.8389
angles: 90.00 90.00 90.00
Last column: nearest neighbours and their distance in Å.
Space group Pm-3m (No. 221)
Unique sites:
La  0.0000  0.0000  0.0000 (multiplicity 1)  12 Ge 3.42
Tc  0.5000  0.5000  0.5000 (multiplicity 1)  6 Ge 2.42
Ge  0.0000  0.5000  0.5000 (multiplicity 3)  2 Tc 2.42

Results
E_form: -0.138 eV/atom
offset from the most stable computed form: 381 meV per atom

***

No. 2
The following is a DFT calculation (PBE) of crystalline Ga2ReHPt at its relaxed geometry.

abc: 4.2700 4.2700 3.4680
angles: 90.00 90.00 90.00
Last column: nearest neighbours and their distance in Å.
Space group P4/mmm (No. 123)
Unique sites:
Ga  0.0000  0.5000  0.0000 (multiplicity 2)  2 H 2.14
Re  0.0000  0.0000  0.5000 (multiplicity 1)  8 Ga 2.75, 4 Pt 3.02
H  0.5000  0.5000  0.0000 (multiplicity 1)  2 Pt 1.73
Pt  0.5000  0.5000  0.5000 (multiplicity 1)  2 H 1.73

Results
DFT total energy: -5.489 eV/atom

***

No. 3
The following is a DFT calculation (PBE) of crystalline Rb2NaAg2Br6 at its relaxed geometry.

abc: 14.5808 7.3493 8.4691
angles: 90.00 119.14 90.00
Last column: nearest neighbours and their distance in Å.
Space group C2/m (No. 12)
Unique sites:
Rb  0.2369  0.0000  0.2190 (multiplicity 4)  7 Br 3.49-3.85
Na  0.0000  0.0000  0.5000 (multiplicity 2)  6 Br 2.97-3.06
Ag  0.0630  0.5000  0.2080 (multiplicity 4)  3 Br 2.56-2.59
Br  0.0628  0.2376  0.8205 (multiplicity 8)  1 Ag 2.59
Br  0.2360  0.0000  0.6298 (multiplicity 4)  1 Ag 2.56

Results
energy relative to the elements, uncorrected: -0.996 eV/atom

***

| no. | DOS at the Fermi energy (states/eV/f.u.) |
| --- | --- |
| 1 | 4.64 |
| 2 | 1.99 |
| 3 | 6.00 |